# 1
# GGA-PBE KDyCrCl6, optimized geometry
# Total moment = 4.0 μB/f.u.
# Density of states at the Fermi level = 13.909 states/eV per cell
data_KDyCrCl6
_symmetry_space_group_name_H-M 'P -3 1 c'
_symmetry_Int_Tables_number 163
_symmetry_space_group_name_Hall '-P 3 2c'
_cell_length_a 6.7278
_cell_length_b 6.7278
_cell_length_c 13.9788
_cell_angle_alpha 90.00
_cell_angle_beta 90.00
_cell_angle_gamma 120.00
loop_
_atom_site_label
_atom_site_type_symbol
_atom_site_fract_x
_atom_site_fract_y
_atom_site_fract_z
_atom_site_occupancy
K1 K 0.0000 0.0000 0.0000 1
Dy1 Dy 0.3333 0.6667 0.2500 1
Cr1 Cr 0.3333 0.6667 0.7500 1
Cl1 Cl 0.0144 0.3772 0.6446 1

# 2
# GGA-PBE RbDyCr2Cl8, optimized geometry
# Total moment = 8.0 μB/f.u.
data_RbDyCr2Cl8
_symmetry_space_group_name_H-M 'P -1'
_symmetry_Int_Tables_number 2
_cell_length_a 6.6895
_cell_length_b 6.8632
_cell_length_c 9.1270
_cell_angle_alpha 110.24
_cell_angle_beta 93.89
_cell_angle_gamma 110.60
loop_
_symmetry_equiv_pos_as_xyz
'x,y,z'
'-x,-y,-z'
loop_
_atom_site_label
_atom_site_type_symbol
_atom_site_fract_x
_atom_site_fract_y
_atom_site_fract_z
_atom_site_occupancy
Rb1 Rb 0.0000 0.0000 0.0000 1
Dy1 Dy 0.0000 0.5000 0.5000 1
Cr1 Cr 0.4285 0.3174 0.7938 1
Cl1 Cl 0.1625 0.5390 0.2509 1
Cl2 Cl 0.2676 0.3096 0.5516 1
Cl3 Cl 0.2969 0.9130 0.6882 1
Cl4 Cl 0.4577 0.6875 0.9536 1

# 3
# GGA-PBE ErCrCl5, optimized geometry
# Total moment = 4.0 μB/f.u.
data_ErCrCl5
_symmetry_space_group_name_H-M 'C 1 2/c 1'
_symmetry_Int_Tables_number 15
_cell_length_a 10.2137
_cell_length_b 9.3845
_cell_length_c 8.3259
_cell_angle_alpha 90.00
_cell_angle_beta 108.84
_cell_angle_gamma 90.00
loop_
_symmetry_equiv_pos_as_xyz
'x,y,z'
'-x,-y,-z'
'-x,y,-z+1/2'
'x,-y,z+1/2'
'x+1/2,y+1/2,z'
'-x+1/2,-y+1/2,-z'
'-x+1/2,y+1/2,-z+1/2'
'x+1/2,-y+1/2,z+1/2'
loop_
_atom_site_label
_atom_site_type_symbol
_atom_site_fract_x
_atom_site_fract_y
_atom_site_fract_z
_atom_site_occupancy
Er1 Er 0.0000 0.0565 0.2500 1
Cr1 Cr 0.0000 0.5000 0.0000 1
Cl1 Cl 0.0000 0.3750 0.2500 1
Cl2 Cl 0.0291 0.1640 0.9601 1
Cl3 Cl 0.2296 0.4264 0.6408 1

# 4
# GGA-PBE ErCrCl6, optimized geometry
# Total moment = 3.0 μB/f.u.
data_ErCrCl6
_symmetry_space_group_name_H-M 'R -3'
_symmetry_Int_Tables_number 148
_symmetry_space_group_name_Hall '-R 3'
_cell_length_a 6.3448
_cell_length_b 6.3448
_cell_length_c 17.1316
_cell_angle_alpha 90.00
_cell_angle_beta 90.00
_cell_angle_gamma 120.00
loop_
_atom_site_label
_atom_site_type_symbol
_atom_site_fract_x
_atom_site_fract_y
_atom_site_fract_z
_atom_site_occupancy
Er1 Er 0.0000 0.0000 0.0000 1
Cr1 Cr 0.0000 0.0000 0.5000 1
Cl1 Cl 0.0078 0.3101 0.5792 1

# 5
# GGA-PBE Er2CrCl8, optimized geometry
# Total moment = 4.0 μB/f.u.
data_Er2CrCl8
_symmetry_space_group_name_H-M 'C 1 2/m 1'
_symmetry_Int_Tables_number 12
_cell_length_a 13.4108
_cell_length_b 9.7571
_cell_length_c 6.8287
_cell_angle_alpha 90.00
_cell_angle_beta 95.11
_cell_angle_gamma 90.00
loop_
_symmetry_equiv_pos_as_xyz
'x,y,z'
'-x,-y,-z'
'-x,y,-z'
'x,-y,z'
'x+1/2,y+1/2,z'
'-x+1/2,-y+1/2,-z'
'-x+1/2,y+1/2,-z'
'x+1/2,-y+1/2,z'
loop_
_atom_site_label
_atom_site_type_symbol
_atom_site_fract_x
_atom_site_fract_y
_atom_site_fract_z
_atom_site_occupancy
Er1 Er 0.1912 0.0000 0.1789 1
Cr1 Cr 0.0000 0.0000 0.5000 1
Cl1 Cl 0.0870 0.1782 0.3394 1
Cl2 Cl 0.1320 0.5000 0.7158 1
Cl3 Cl 0.1629 0.0000 0.8150 1

# 6
# GGA-PBE ErCrInCl6, optimized geometry
# Total moment = 4.0 μB/f.u.
data_ErCrInCl6
_symmetry_space_group_name_H-M 'C 1 2 1'
_symmetry_Int_Tables_number 5
_cell_length_a 6.9362
_cell_length_b 11.2913
_cell_length_c 7.1332
_cell_angle_alpha 90.00
_cell_angle_beta 92.92
_cell_angle_gamma 90.00
loop_
_symmetry_equiv_pos_as_xyz
'x,y,z'
'-x,y,-z'
'x+1/2,y+1/2,z'
'-x+1/2,y+1/2,-z'
loop_
_atom_site_label
_atom_site_type_symbol
_atom_site_fract_x
_atom_site_fract_y
_atom_site_fract_z
_atom_site_occupancy
Er1 Er 0.0000 0.0000 0.0000 1
Cr1 Cr 0.0000 0.3401 0.0000 1
In1 In 0.0000 0.6794 0.5000 1
Cl1 Cl 0.1258 0.1863 0.2030 1
Cl2 Cl 0.1761 0.8603 0.2366 1
Cl3 Cl 0.1765 0.4872 0.1839 1

# 7
# GGA-PBE KErCrCl6, optimized geometry
# Total moment = 4.0 μB/f.u.
# Density of states at the Fermi level = 14.031 states/eV per cell
data_KErCrCl6
_symmetry_space_group_name_H-M 'P -3 1 c'
_symmetry_Int_Tables_number 163
_symmetry_space_group_name_Hall '-P 3 2c'
_cell_length_a 6.6939
_cell_length_b 6.6939
_cell_length_c 14.0034
_cell_angle_alpha 90.00
_cell_angle_beta 90.00
_cell_angle_gamma 120.00
loop_
_atom_site_label
_atom_site_type_symbol
_atom_site_fract_x
_atom_site_fract_y
_atom_site_fract_z
_atom_site_occupancy
K1 K 0.0000 0.0000 0.0000 1
Er1 Er 0.3333 0.6667 0.2500 1
Cr1 Cr 0.3333 0.6667 0.7500 1
Cl1 Cl 0.0117 0.3761 0.6451 1

# 8
# GGA-PBE NaErCrCl6, optimized geometry
# Total moment = 4.0 μB/f.u.
# Density of states at the Fermi level = 13.658 states/eV per cell
data_NaErCrCl6
_symmetry_space_group_name_H-M 'P -3 1 c'
_symmetry_Int_Tables_number 163
_symmetry_space_group_name_Hall '-P 3 2c'
_cell_length_a 6.5940
_cell_length_b 6.5940
_cell_length_c 12.6698
_cell_angle_alpha 90.00
_cell_angle_beta 90.00
_cell_angle_gamma 120.00
loop_
_atom_site_label
_atom_site_type_symbol
_atom_site_fract_x
_atom_site_fract_y
_atom_site_fract_z
_atom_site_occupancy
Na1 Na 0.0000 0.0000 0.0000 1
Er1 Er 0.3333 0.6667 0.2500 1
Cr1 Cr 0.3333 0.6667 0.7500 1
Cl1 Cl 0.0124 0.3630 0.6352 1

no.,E_form (uncorrected) (eV/atom)
1,-1.768
2,-1.524
3,-1.620
4,-1.601
5,-1.730
6,-1.514
7,-1.770
8,-1.710